VASP calculation (PBE with a Hubbard U) on an optimized crystal structure of MnH20C2S2N6O12.

abc: 6.4417 6.4670 10.0216
angles: 90.42 83.43 70.24
With the nearest neighbours (Å) after each atom.
Element x y z (fractional)
N1 0.7340 0.4856 0.0722  2 H 1.02
S1 0.8473 0.1367 0.7142  4 O 1.48-1.51
H1 0.2842 0.2032 0.1804  1 N 1.02
H2 0.8054 0.8320 0.1566  1 N 1.02
O1 0.1646 0.0700 0.3471  1 S 1.50
H3 0.6750 0.0649 0.3824  1 O 0.99
H4 0.4107 0.1254 0.3923  1 O 0.99
C1 0.2735 0.3342 0.9946  3 N 1.34
H5 0.7515 0.3466 0.0165  1 N 1.02
H6 0.0537 0.6683 0.6320  1 O 0.99
H7 0.7158 0.7968 0.8196  1 N 1.02
O2 0.1809 0.5278 0.6303  2 H 0.99
S2 0.1527 0.8633 0.2858  4 O 1.48-1.51
N2 0.2660 0.5144 0.9278  2 H 1.02
O3 0.8024 0.1383 0.8628  1 S 1.48
H8 0.2485 0.6534 0.9835  1 N 1.02
O4 0.4700 0.8145 0.5961  2 H 0.99
H9 0.1946 0.1680 0.8434  1 N 1.02
H10 0.3301 0.4536 0.1738  1 N 1.02
O5 0.5300 0.1855 0.4039  2 H 0.99
N3 0.3016 0.3289 0.1250  2 H 1.02
O6 0.3206 0.6661 0.3347  1 S 1.49
O7 0.9247 0.8500 0.3241  1 S 1.51
O8 0.8191 0.4722 0.3697  2 H 0.99
H11 0.7556 0.9652 0.0060  1 N 1.02
H12 0.6699 0.5464 0.8262  1 N 1.02
H13 0.2501 0.5202 0.8276  1 N 1.02
H14 0.2444 0.0348 0.9940  1 N 1.02
H15 0.8784 0.5957 0.3646  1 O 0.99
H16 0.3250 0.9351 0.6176  1 O 0.99
H17 0.1216 0.4043 0.6354  1 O 0.99
H18 0.9463 0.3317 0.3680  1 O 0.99
O9 0.8354 0.9300 0.6529  1 S 1.50
Mn1 0.5000 0.5000 0.5000  6 O 2.18-2.26
N4 0.6984 0.6711 0.8750  2 H 1.02
H19 0.5893 0.8746 0.6077  1 O 0.99
N5 0.2592 0.1564 0.9329  2 H 1.02
O10 0.1976 0.8617 0.1372  1 S 1.48
C2 0.7265 0.6658 0.0054  3 N 1.34
N6 0.7408 0.8436 0.0671  2 H 1.02
O11 0.0753 0.1500 0.6759  1 S 1.51
H20 0.7499 0.4798 0.1724  1 N 1.02
O12 0.6794 0.3339 0.6653  1 S 1.49

Properties
Its volume is 389.8 Å³ per cell. Its symmetry is P-1, No. 2. The total magnetic moment comes out at 0.12 μB per atom. The total DFT energy (no corrections) is -0.4239 Ry per atom.